## YMoO4F (GGA+U)

Data for YMoO4F after structural relaxation.

Summary:
**Density**: 4.36 Mg/m³
**Energy**: -213.88 eV per cell

a b c (Å): 5.2768 12.4763 6.7500
angles (deg): 90.00 113.31 90.00
With the nearest neighbours (Å) after each atom.
Space group P2_1/c (No. 14)
Unique sites:
Y  0.1397  0.0516  0.2998 [4 per cell]  2 F 2.25-2.32, 6 O 2.32-2.44
Mo  0.4184  0.1428  0.8683 [4 per cell]  4 O 1.76-1.84
O  0.1898  0.0655  0.9619 [4 per cell]  1 Mo 1.84
O  0.2651  0.6520  0.4074 [4 per cell]  1 Mo 1.76
O  0.3061  0.2231  0.2948 [4 per cell]  1 Mo 1.78
O  0.4973  0.0686  0.6632 [4 per cell]  1 Mo 1.84
F  0.0395  0.5981  0.9604 [4 per cell]  2 Y 2.25-2.32